No. 1
Density functional theory data (PBE) for a relaxed structure of MgAg2O.

Summary:
Energy above the lowest structure with this stoichiometry   0.0 kJ per mole of atoms
Magnetic moment   0.00 μB/f.u.
SG   Fm-3m
Energy relative to the elements, uncorrected   -0.021 eV per atom

Cell lengths 4.4261, 4.4261, 4.4261 Å; angles 60.00, 60.00, 60.00 degrees
With the nearest neighbours (Å) after each atom.
Element x y z (fractional)
Mg  0.0000  0.0000  0.0000  8 Ag 2.71
Ag  0.2500  0.2500  0.2500  4 O 2.71, 4 Mg 2.71
Ag  0.7500  0.7500  0.7500  4 O 2.71, 4 Mg 2.71
O  0.5000  0.5000  0.5000  8 Ag 2.71


No. 2
Density functional theory data (PBE) for a relaxed structure of MgAg2O4.

Summary:
Energy above the lowest structure with this stoichiometry   3.6 kJ per mole of atoms
Magnetic moment   0.00 μB/f.u.
SG   I4_1/amd
Energy relative to the elements, uncorrected   -0.659 eV per atom

Cell lengths 7.1042, 7.1042, 7.1042 Å; angles 130.84, 130.84, 72.07 degrees
With the nearest neighbours (Å) after each atom.
Element x y z (fractional)
Mg  0.3750  0.6250  0.7500  4 O 2.00
Mg  0.6250  0.3750  0.2500  4 O 2.00
Ag  0.0000  0.0000  0.0000  4 O 2.03
Ag  0.0000  0.0000  0.5000  4 O 2.03
Ag  0.0000  0.5000  0.0000  4 O 2.03
Ag  0.5000  0.0000  0.5000  4 O 2.03
O  0.2171  0.7332  0.4840  1 Mg 2.00, 2 Ag 2.03
O  0.2508  0.2668  0.9840  1 Mg 2.00, 2 Ag 2.03
O  0.2668  0.2508  0.4840  1 Mg 2.00, 2 Ag 2.03
O  0.2668  0.7829  0.0160  1 Mg 2.00, 2 Ag 2.03
O  0.7332  0.2171  0.9840  1 Mg 2.00, 2 Ag 2.03
O  0.7332  0.7492  0.5160  1 Mg 2.00, 2 Ag 2.03
O  0.7492  0.7332  0.0160  1 Mg 2.00, 2 Ag 2.03
O  0.7829  0.2668  0.5160  1 Mg 2.00, 2 Ag 2.03


No. 3
Density functional theory data (PBE) for a relaxed structure of MgAg2O4.

Summary:
Energy above the lowest structure with this stoichiometry   5.7 kJ per mole of atoms
Magnetic moment   0.00 μB/f.u.
SG   Imma
Energy relative to the elements, uncorrected   -0.637 eV per atom

Cell lengths 6.1351, 6.1351, 6.1351 Å; angles 115.23, 113.50, 100.08 degrees
With the nearest neighbours (Å) after each atom.
Element x y z (fractional)
Mg  0.5000  0.0000  0.0000  6 O 2.11-2.12
Mg  0.5000  0.5000  0.5000  6 O 2.11-2.12
Ag  0.0000  0.0000  0.0000  6 O 2.09-2.16
Ag  0.1041  0.3541  0.7500  4 O 2.17-2.20
Ag  0.5000  0.0000  0.5000  6 O 2.09-2.16
Ag  0.8959  0.6459  0.2500  4 O 2.17-2.20
O  0.2337  0.1879  0.4542  1 Mg 2.12, 3 Ag 2.16-2.20
O  0.2337  0.7794  0.0458  1 Mg 2.12, 3 Ag 2.16-2.20
O  0.2918  0.7389  0.5530  2 Ag 2.09-2.17, 2 Mg 2.11
O  0.3141  0.2611  0.0530  2 Ag 2.09-2.17, 2 Mg 2.11
O  0.6859  0.7389  0.9470  2 Ag 2.09-2.17, 2 Mg 2.11
O  0.7082  0.2611  0.4470  2 Ag 2.09-2.17, 2 Mg 2.11
O  0.7663  0.2206  0.9542  1 Mg 2.12, 3 Ag 2.16-2.20
O  0.7663  0.8121  0.5458  1 Mg 2.12, 3 Ag 2.16-2.20


No. 4
Density functional theory data (PBE) for a relaxed structure of MgAg2O4.

Summary:
Energy above the lowest structure with this stoichiometry   15.7 kJ per mole of atoms
Magnetic moment   3.51 μB/f.u.
SG   Fd-3m
Energy relative to the elements, uncorrected   -0.534 eV per atom

Cell lengths 6.3866, 6.3866, 6.3866 Å; angles 60.00, 60.00, 60.00 degrees
With the nearest neighbours (Å) after each atom.
Element x y z (fractional)
Mg  0.1250  0.1250  0.1250  4 O 2.02
Mg  0.8750  0.8750  0.8750  4 O 2.02
Ag  0.0000  0.5000  0.5000  6 O 2.22
Ag  0.5000  0.0000  0.5000  6 O 2.22
Ag  0.5000  0.5000  0.0000  6 O 2.22
Ag  0.5000  0.5000  0.5000  6 O 2.22
O  0.2543  0.2543  0.2543  1 Mg 2.02, 3 Ag 2.22
O  0.2543  0.2543  0.7371  1 Mg 2.02, 3 Ag 2.22
O  0.2543  0.7371  0.2543  1 Mg 2.02, 3 Ag 2.22
O  0.2629  0.7457  0.7457  1 Mg 2.02, 3 Ag 2.22
O  0.7371  0.2543  0.2543  1 Mg 2.02, 3 Ag 2.22
O  0.7457  0.2629  0.7457  1 Mg 2.02, 3 Ag 2.22
O  0.7457  0.7457  0.2629  1 Mg 2.02, 3 Ag 2.22
O  0.7457  0.7457  0.7457  1 Mg 2.02, 3 Ag 2.22


no.,theoretical density (g/cm³),electronic total energy (eV for the cell shown)
1,6.9,-12.34
2,5.0,-63.48
3,5.8,-63.18
4,5.5,-61.73